A relaxed Pm4SmY4 crystal, computed with PBE-GGA.

a b c (Å): 11.967 9.562 13.952
angles (deg): 95.71 105.62 148.74
Atoms (fractional coordinates):
Pm1 0.223 0.807 0.472
Y1 0.558 0.140 0.807
Y2 0.888 0.470 0.138
Pm2 0.110 0.026 0.360
Sm1 0.446 0.363 0.695
Pm3 0.666 0.917 0.917
Y3 0.442 0.860 0.193
Pm4 0.777 0.193 0.528
Y4 0.777 0.694 0.027
Pm5 0.890 0.974 0.640
Pm6 0.334 0.083 0.083
Y5 0.223 0.306 0.973
Sm2 0.554 0.637 0.305
Y6 0.665 0.414 0.416
Pm7 0.999 0.248 0.249
Pm8 0.001 0.752 0.751
Y7 0.112 0.530 0.862
Y8 0.335 0.586 0.584

Values from the calculation:
Its total DFT energy (no corrections) is -98.9 eV per cell. Its energy of formation is 0.02 eV per atom.